# 1
{
  "formula": "Nd3Co5Te12",
  "functional": "GGA-PBE",
  "state": "relaxed",
  "raw_formation_energy_ev_per_fu": -8.7,
  "space_group": "Ia-3d (230)",
  "lattice": [[14.257, 0.000, 0.000], [-4.752, 13.442, 0.000], [-4.752, -6.721, 11.641]],
  "species": ["Te", "Te", "Te", "Te", "Te", "Te", "Te", "Te", "Te", "Te", "Te", "Te", "Te", "Te", "Te", "Te", "Te", "Te", "Te", "Te", "Te", "Te", "Te", "Te", "Te", "Te", "Te", "Te", "Te", "Te", "Te", "Te", "Te", "Te", "Te", "Te", "Te", "Te", "Te", "Te", "Te", "Te", "Te", "Te", "Te", "Te", "Te", "Te", "Co", "Co", "Co", "Co", "Co", "Co", "Co", "Co", "Co", "Co", "Co", "Co", "Co", "Co", "Co", "Co", "Co", "Co", "Co", "Co", "Nd", "Nd", "Nd", "Nd", "Nd", "Nd", "Nd", "Nd", "Nd", "Nd", "Nd", "Nd"],
  "frac_coords": [[0.412, 0.301, 0.322], [0.611, 0.589, 0.912], [0.088, 0.178, 0.199], [0.178, 0.089, 0.978], [0.389, 0.978, 0.801], [0.199, 0.522, 0.611], [0.089, 0.178, 0.478], [0.699, 0.588, 0.178], [0.022, 0.611, 0.699], [0.912, 0.822, 0.801], [0.301, 0.889, 0.978], [0.178, 0.088, 0.699], [0.589, 0.611, 0.412], [0.111, 0.412, 0.089], [0.412, 0.111, 0.589], [0.678, 0.199, 0.588], [0.611, 0.022, 0.199], [0.588, 0.699, 0.678], [0.322, 0.801, 0.412], [0.389, 0.411, 0.088], [0.589, 0.978, 0.678], [0.111, 0.699, 0.522], [0.822, 0.912, 0.301], [0.678, 0.478, 0.589], [0.822, 0.911, 0.022], [0.699, 0.111, 0.022], [0.978, 0.389, 0.301], [0.801, 0.478, 0.389], [0.199, 0.678, 0.088], [0.978, 0.589, 0.178], [0.411, 0.022, 0.322], [0.411, 0.389, 0.588], [0.889, 0.588, 0.911], [0.088, 0.911, 0.389], [0.478, 0.678, 0.089], [0.911, 0.088, 0.889], [0.889, 0.301, 0.478], [0.478, 0.801, 0.889], [0.588, 0.889, 0.411], [0.322, 0.522, 0.411], [0.301, 0.412, 0.822], [0.912, 0.089, 0.611], [0.801, 0.322, 0.912], [0.022, 0.411, 0.822], [0.911, 0.822, 0.522], [0.089, 0.912, 0.111], [0.522, 0.322, 0.911], [0.522, 0.199, 0.111], [0.750, 0.125, 0.875], [0.125, 0.750, 0.375], [0.625, 0.875, 0.250], [0.125, 0.375, 0.250], [0.375, 0.250, 0.125], [0.500, 0.500, 0.000], [0.875, 0.250, 0.625], [0.000, 0.000, 0.500], [0.000, 0.500, 0.000], [0.500, 0.000, 0.500], [0.250, 0.375, 0.625], [0.375, 0.125, 0.750], [0.250, 0.875, 0.125], [0.500, 0.500, 0.500], [0.000, 0.000, 0.000], [0.875, 0.625, 0.750], [0.500, 0.000, 0.000], [0.000, 0.500, 0.500], [0.625, 0.750, 0.875], [0.750, 0.625, 0.375], [0.250, 0.125, 0.375], [0.125, 0.875, 0.750], [0.375, 0.750, 0.625], [0.125, 0.250, 0.875], [0.750, 0.875, 0.625], [0.750, 0.375, 0.125], [0.250, 0.625, 0.875], [0.375, 0.625, 0.250], [0.875, 0.125, 0.250], [0.875, 0.750, 0.125], [0.625, 0.375, 0.750], [0.625, 0.250, 0.375]]
}

---

# 2
{
  "formula": "Nd3CoTe",
  "functional": "GGA-PBE",
  "state": "relaxed",
  "raw_formation_energy_ev_per_fu": -3.0,
  "space_group": "P2_1/m (11)",
  "lattice": [[-0.775, 3.281, -2.233], [-7.425, -3.139, -2.035], [-1.406, 4.667, 7.346]],
  "species": ["Co", "Co", "Nd", "Nd", "Nd", "Nd", "Nd", "Nd", "Te", "Te"],
  "frac_coords": [[0.250, 0.949, 0.428], [0.750, 0.051, 0.572], [0.250, 0.313, 0.590], [0.250, 0.928, 0.747], [0.250, 0.697, 0.065], [0.750, 0.303, 0.935], [0.750, 0.687, 0.410], [0.750, 0.072, 0.253], [0.250, 0.388, 0.235], [0.750, 0.612, 0.765]]
}

---

# 3
{
  "formula": "Nd5Co2Te2",
  "functional": "GGA-PBE",
  "state": "relaxed",
  "raw_formation_energy_ev_per_fu": -5.6,
  "space_group": "Cmce (64)",
  "lattice": [[-3.436, -5.189, 4.910], [7.155, -2.539, 2.324], [-1.666, 2.868, 8.264]],
  "species": ["Co", "Co", "Co", "Co", "Nd", "Nd", "Nd", "Nd", "Nd", "Nd", "Nd", "Nd", "Nd", "Nd", "Te", "Te", "Te", "Te"],
  "frac_coords": [[0.390, 0.896, 0.000], [0.110, 0.396, 0.000], [0.610, 0.104, 0.000], [0.890, 0.604, 0.000], [0.046, 0.666, 0.239], [0.715, 0.334, 0.239], [0.454, 0.166, 0.761], [0.215, 0.166, 0.239], [0.546, 0.834, 0.239], [0.954, 0.334, 0.761], [0.785, 0.834, 0.761], [0.000, 0.000, 0.000], [0.500, 0.500, 0.000], [0.285, 0.666, 0.761], [0.708, 0.500, 0.584], [0.208, 0.000, 0.584], [0.792, 0.000, 0.416], [0.292, 0.500, 0.416]]
}

---

# 4
{
  "formula": "NdCoTe",
  "functional": "GGA-PBE",
  "state": "relaxed",
  "raw_formation_energy_ev_per_fu": -0.4,
  "space_group": "P-6m2 (187)",
  "lattice": [[3.779, 0.000, 0.000], [-1.889, 3.271, 0.000], [0.000, 0.000, 11.612]],
  "species": ["Te", "Te", "Nd", "Nd", "Co", "Co"],
  "frac_coords": [[0.278, 0.556, 0.131], [0.278, 0.556, 0.869], [0.611, 0.222, 0.656], [0.611, 0.222, 0.344], [0.277, 0.555, 0.500], [0.611, 0.222, 0.000]]
}

---

What are the total DFT energy (no corrections) values for these records? In order: -96.24; -27.56; -49.90; -15.44 eV/f.u..